Compound: Sr2Ag2IrO6
Source: the Alexandria database
Functional: GGA-PBE
Structure: optimized geometry

Results
* size of the total moment: 2.9 μB/f.u.
* formation energy (no corrections): -1.300 eV per atom
* N(E_F): 7.06 states/eV/cell

```
data_Sr2Ag2IrO6
_chemical_formula_sum 'Sr4 Ag4 Ir2 O12'
_space_group_name_H-M_alt 'C 1 2/m 1'
_space_group_IT_number 12
_cell_length_a 6.1301
_cell_length_b 10.7220
_cell_length_c 6.3371
_cell_angle_alpha 90.00
_cell_angle_beta 96.67
_cell_angle_gamma 90.00
loop_
_space_group_symop_operation_xyz
'x,y,z'
'-x,-y,-z'
'-x,y,-z'
'x,-y,z'
'x+1/2,y+1/2,z'
'-x+1/2,-y+1/2,-z'
'-x+1/2,y+1/2,-z'
'x+1/2,-y+1/2,z'
loop_
_atom_site_label
_atom_site_type_symbol
_atom_site_fract_x
_atom_site_fract_y
_atom_site_fract_z
_atom_site_occupancy
Sr1 Sr 0.0000 0.1650 0.0000 1
Ag1 Ag 0.0000 0.3629 0.5000 1
Ir1 Ir 0.0000 0.5000 0.0000 1
O1 O 0.1106 0.3631 0.8249 1
O2 O 0.2155 0.0000 0.8374 1
```